No. 1
Below is a relaxed GaMo2S crystal, with properties calculated at the PBE level.

The excess energy over the best structure of this formula in the dataset is 0.130 eV/atom. The formation energy (no corrections) comes out at 0.3111 eV per atom. The space-group type is No. 122.

a b c (Å): 3.8571 3.8571 9.3325
angles (deg): 78.07 78.07 90.00
Fractional positions:
Ga (0.0000, 0.0000, 0.0000)
Mo (0.8750, 0.8437, 0.7500)
Mo (0.5937, 0.1250, 0.2500)
Mo (0.1563, 0.6250, 0.2500)
Mo (0.3750, 0.4063, 0.7500)
S (0.2500, 0.7500, 0.5000)
Ga (0.7500, 0.2500, 0.5000)
S (0.5000, 0.5000, 0.0000)

***

No. 2
Below is a relaxed KSmF4 crystal, with properties calculated at the PBE level.

The formation energy (no corrections) comes out at -3.7133 eV per atom. The space-group type is No. 62.

a b c (Å): 3.7203 6.2271 15.7119
angles (deg): 90.00 90.00 90.00
Fractional positions:
Sm (0.2500, 0.7488, 0.5599)
Sm (0.7500, 0.2512, 0.4401)
Sm (0.7500, 0.7512, 0.0599)
F (0.7500, 0.1337, 0.0359)
F (0.2500, 0.4952, 0.0573)
F (0.2500, 0.3663, 0.5359)
F (0.2500, 0.3945, 0.3673)
F (0.7500, 0.5929, 0.1904)
F (0.7500, 0.6055, 0.6327)
K (0.2500, 0.7783, 0.2978)
F (0.7500, 0.5048, 0.9427)
K (0.7500, 0.2217, 0.7022)
F (0.2500, 0.4071, 0.8096)
F (0.7500, 0.0929, 0.3096)
K (0.2500, 0.2783, 0.2022)
K (0.7500, 0.7217, 0.7978)
Sm (0.2500, 0.2488, 0.9401)
F (0.2500, 0.8945, 0.1327)
F (0.2500, 0.9952, 0.4427)
F (0.7500, 0.1055, 0.8673)
F (0.7500, 0.0048, 0.5573)
F (0.7500, 0.6337, 0.4641)
F (0.2500, 0.8663, 0.9641)
F (0.2500, 0.9071, 0.6904)

***

No. 3
Below is a relaxed MnAlSn crystal, with properties calculated at the PBE level.

The formation energy is 0.01 eV/atom. The space-group type is No. 129.

a b c (Å): 3.7619 3.7619 7.3559
angles (deg): 90.00 90.00 90.00
Site moments in Bohr magnetons follow the coordinates.
Fractional positions:
Sn (0.5000, 0.0000, 0.6386)  -0.11
Al (0.5000, 0.5000, 0.0000)  -0.06
Mn (0.0000, 0.5000, 0.7506)  2.49
Sn (0.0000, 0.5000, 0.3614)  -0.11
Mn (0.5000, 0.0000, 0.2494)  2.49
Al (0.0000, 0.0000, 0.0000)  -0.06

***

no.,spin magnetization (Bohr magnetons per cell)
1,0.0
2,0.3
3,4.6